Entry 1:
Here is a relaxed Zn2OsRu crystal from the Alexandria database. Energies are from PBE.

The structure in CIF format:
```
data_Zn2OsRu
_cell_length_a 3.0218
_cell_length_b 3.0218
_cell_length_c 6.0699
_cell_angle_alpha 90.00
_cell_angle_beta 90.00
_cell_angle_gamma 90.00
_space_group_name_H-M_alt 'P 4/m m m'
_space_group_IT_number 123
_space_group_name_Hall '-P 4 2'
loop_
_atom_site_label
_atom_site_type_symbol
_atom_site_fract_x
_atom_site_fract_y
_atom_site_fract_z
Zn1 Zn 0.0000 0.0000 0.2476
Os1 Os 0.5000 0.5000 0.5000
Ru1 Ru 0.5000 0.5000 0.0000
```

Summary:
ΔE_f	313	meV per atom
magnetic moment	0.655	Bohr magnetons per cell
energy above the lowest structure with this stoichiometry	310	meV per atom



Entry 2:
Here is a relaxed LaAgPb crystal from the Alexandria database. Energies are from PBE.

The structure in CIF format:
```
data_LaAgPb
_cell_length_a 4.7877
_cell_length_b 4.9402
_cell_length_c 7.3185
_cell_angle_alpha 90.00
_cell_angle_beta 108.96
_cell_angle_gamma 90.00
_space_group_name_H-M_alt 'P 1 21/m 1'
_space_group_IT_number 11
_space_group_name_Hall '-P 2yb'
loop_
_atom_site_label
_atom_site_type_symbol
_atom_site_fract_x
_atom_site_fract_y
_atom_site_fract_z
La1 La 0.1016 0.2500 0.2018
Ag1 Ag 0.2536 0.7500 0.5060
Pb1 Pb 0.3921 0.2500 0.7849
```

Summary:
ΔE_f	-412	meV per atom
magnetic moment	0.000	Bohr magnetons per cell



Entry 3:
Here is a relaxed RbGeBi3 crystal from the Alexandria database. Energies are from PBE.

The structure in CIF format:
```
data_RbGeBi3
_cell_length_a 5.7301
_cell_length_b 5.7301
_cell_length_c 5.7301
_cell_angle_alpha 90.00
_cell_angle_beta 90.00
_cell_angle_gamma 90.00
_space_group_name_H-M_alt 'P m -3 m'
_space_group_IT_number 221
_space_group_name_Hall '-P 4 2 3'
loop_
_atom_site_label
_atom_site_type_symbol
_atom_site_fract_x
_atom_site_fract_y
_atom_site_fract_z
Rb1 Rb 0.0000 0.0000 0.0000
Ge1 Ge 0.5000 0.5000 0.5000
Bi1 Bi 0.0000 0.5000 0.5000
```

Summary:
ΔE_f	231	meV per atom
magnetic moment	0.000	Bohr magnetons per cell
energy above the lowest structure with this stoichiometry	0	meV per atom



Entry 4:
Here is a relaxed Tl2SiTc4 crystal from the Alexandria database. Energies are from PBE.

The structure in CIF format:
```
data_Tl2SiTc4
_cell_length_a 4.4054
_cell_length_b 4.4054
_cell_length_c 14.0661
_cell_angle_alpha 90.00
_cell_angle_beta 90.00
_cell_angle_gamma 90.00
_space_group_name_H-M_alt 'I 4/m m m'
_space_group_IT_number 139
_space_group_name_Hall '-I 4 2'
loop_
_atom_site_label
_atom_site_type_symbol
_atom_site_fract_x
_atom_site_fract_y
_atom_site_fract_z
Tl1 Tl 0.0000 0.0000 0.1419
Si1 Si 0.0000 0.0000 0.5000
Tc1 Tc 0.0000 0.0000 0.3390
Tc2 Tc 0.0000 0.5000 0.0000
```

Summary:
magnetic moment	5.310	Bohr magnetons per cell
formation energy without anion corrections	929.0	meV per atom



Entry 5:
Here is a relaxed Y3HoAl crystal from the Alexandria database. Energies are from PBE.

The structure in CIF format:
```
data_Y3HoAl
_cell_length_a 3.6385
_cell_length_b 8.5902
_cell_length_c 9.7391
_cell_angle_alpha 75.66
_cell_angle_beta 79.24
_cell_angle_gamma 89.98
_space_group_name_H-M_alt 'P -1'
_space_group_IT_number 2
_space_group_name_Hall '-P 1'
loop_
_atom_site_label
_atom_site_type_symbol
_atom_site_fract_x
_atom_site_fract_y
_atom_site_fract_z
Y1 Y 0.0010 0.2207 0.4977
Y2 Y 0.1834 0.8853 0.1333
Y3 Y 0.1973 0.3111 0.1051
Ho1 Ho 0.3978 0.4492 0.7036
Al1 Al 0.4072 0.9444 0.6858
```

Summary:
ΔE_f	-147	meV per atom
magnetic moment	0.000	Bohr magnetons per cell
energy above the lowest structure with this stoichiometry	0	meV per atom



Entry 6:
Here is a relaxed BC4 crystal from the Alexandria database. Energies are from PBE.

The structure in CIF format:
```
data_BC4
_cell_length_a 2.5303
_cell_length_b 2.5303
_cell_length_c 32.7361
_cell_angle_alpha 90.00
_cell_angle_beta 90.00
_cell_angle_gamma 120.00
_space_group_name_H-M_alt 'R -3 m'
_space_group_IT_number 166
_space_group_name_Hall '-R 3 2"'
loop_
_atom_site_label
_atom_site_type_symbol
_atom_site_fract_x
_atom_site_fract_y
_atom_site_fract_z
B1 B 0.0000 0.0000 0.1823
C1 C 0.0000 0.0000 0.0236
C2 C 0.0000 0.0000 0.2307
C3 C 0.0000 0.0000 0.3728
C4 C 0.0000 0.0000 0.4200
```

Summary:
ΔE_f	231	meV per atom
magnetic moment	0.002	Bohr magnetons per cell
energy above the lowest structure with this stoichiometry	7	meV per atom



Entry 7:
Here is a relaxed SrTcB2O8 crystal from the Alexandria database. Energies are from PBE.

The structure in CIF format:
```
data_SrTcB2O8
_cell_length_a 4.9846
_cell_length_b 4.9846
_cell_length_c 6.8950
_cell_angle_alpha 90.00
_cell_angle_beta 90.00
_cell_angle_gamma 120.00
_space_group_name_H-M_alt 'P -3 m 1'
_space_group_IT_number 164
_space_group_name_Hall '-P 3 2"'
loop_
_atom_site_label
_atom_site_type_symbol
_atom_site_fract_x
_atom_site_fract_y
_atom_site_fract_z
Sr1 Sr 0.0000 0.0000 0.0000
Tc1 Tc 0.0000 0.0000 0.5000
B1 B 0.3333 0.6667 0.2603
O1 O 0.1738 0.3476 0.3369
O2 O 0.3333 0.6667 0.0538
```

Summary:
magnetic moment	0.986	Bohr magnetons per cell
formation energy without anion corrections	-1786.1	meV per atom